Material: Ba2SmP3Pt12
Method: DFT, PBE-GGA
State: relaxed

abc: 7.980 7.980 7.980
angles: 63.85 63.85 63.85
Fractional coordinates of all 18 atoms:
1 Ba 0.102 0.102 0.102
2 Ba 0.898 0.898 0.898
3 Sm 0.500 0.500 0.500
4 P 0.000 0.500 0.500
5 P 0.500 0.000 0.500
6 P 0.500 0.500 0.000
7 Pt 0.100 0.631 0.631
8 Pt 0.170 0.170 0.592
9 Pt 0.170 0.592 0.170
10 Pt 0.369 0.369 0.900
11 Pt 0.369 0.900 0.369
12 Pt 0.408 0.830 0.830
13 Pt 0.592 0.170 0.170
14 Pt 0.631 0.100 0.631
15 Pt 0.631 0.631 0.100
16 Pt 0.830 0.408 0.830
17 Pt 0.830 0.830 0.408
18 Pt 0.900 0.369 0.369

Results
total DFT energy (no corrections) = -103.80 eV for the cell shown
DOS(E_F) = 4.82 states/eV/cell
space-group type = No. 166
ΔH_f (0 K) = -0.3618 eV/atom

Material: Ba2SnPPt6
Method: DFT, PBE-GGA
State: relaxed

abc: 6.644 6.644 7.949
angles: 121.25 121.25 52.74
Fractional coordinates of all 10 atoms:
1 Ba 0.236 0.236 0.171
2 Ba 0.764 0.764 0.829
3 Sn 0.500 0.500 0.000
4 P 0.000 0.000 0.500
5 Pt 0.214 0.699 0.681
6 Pt 0.244 0.244 0.647
7 Pt 0.301 0.786 0.319
8 Pt 0.699 0.214 0.681
9 Pt 0.756 0.756 0.353
10 Pt 0.786 0.301 0.319

Results
total DFT energy (no corrections) = -56.46 eV for the cell shown
DOS(E_F) = 2.91 states/eV/cell
space-group type = No. 12
ΔH_f (0 K) = -0.6953 eV/atom

Material: Ba2TePPt
Method: DFT, PBE-GGA
State: relaxed

abc: 6.276 6.276 4.406
angles: 90.00 90.00 90.00
Fractional coordinates of all 5 atoms:
1 Ba 0.000 0.500 0.000
2 Ba 0.500 0.000 0.000
3 Te 0.000 0.000 0.500
4 P 0.500 0.500 0.000
5 Pt 0.500 0.500 0.500

Results
total DFT energy (no corrections) = -24.08 eV for the cell shown
DOS(E_F) = 1.29 states/eV/cell
space-group type = No. 123
formation energy from raw total energies = -5.64 eV per formula unit

Material: BaTlP2Pt
Method: DFT, PBE-GGA
State: relaxed

abc: 4.969 4.969 5.302
angles: 90.00 90.00 90.00
Fractional coordinates of all 5 atoms:
1 Ba 0.000 0.000 0.000
2 Tl 0.500 0.500 0.000
3 P 0.000 0.500 0.500
4 P 0.500 0.000 0.500
5 Pt 0.500 0.500 0.500

Results
total DFT energy (no corrections) = -21.49 eV for the cell shown
DOS(E_F) = 2.58 states/eV/cell
space-group type = No. 123
ΔH_f (0 K) = -0.0682 eV/atom

Material: BaTmP2Pt4
Method: DFT, PBE-GGA
State: relaxed

abc: 4.104 4.104 10.192
angles: 90.00 90.00 90.00
Fractional coordinates of all 8 atoms:
1 Ba 0.000 0.000 0.000
2 Tm 0.000 0.000 0.500
3 P 0.500 0.500 0.184
4 P 0.500 0.500 0.816
5 Pt 0.000 0.500 0.298
6 Pt 0.000 0.500 0.702
7 Pt 0.500 0.000 0.298
8 Pt 0.500 0.000 0.702

Results
total DFT energy (no corrections) = -48.62 eV for the cell shown
DOS(E_F) = 4.13 states/eV/cell
space-group type = No. 123
ΔH_f (0 K) = -0.9059 eV/atom

Material: Ba2UP3Pt12
Method: DFT, PBE-GGA
State: relaxed

abc: 8.124 8.124 8.124
angles: 61.63 61.63 61.63
Fractional coordinates of all 18 atoms:
1 Ba 0.105 0.105 0.105
2 Ba 0.895 0.895 0.895
3 U 0.500 0.500 0.500
4 P 0.000 0.500 0.500
5 P 0.500 0.000 0.500
6 P 0.500 0.500 0.000
7 Pt 0.116 0.621 0.621
8 Pt 0.168 0.168 0.590
9 Pt 0.168 0.590 0.168
10 Pt 0.379 0.379 0.884
11 Pt 0.379 0.884 0.379
12 Pt 0.410 0.832 0.832
13 Pt 0.590 0.168 0.168
14 Pt 0.621 0.116 0.621
15 Pt 0.621 0.621 0.116
16 Pt 0.832 0.410 0.832
17 Pt 0.832 0.832 0.410
18 Pt 0.884 0.379 0.379

Results
total DFT energy (no corrections) = -110.60 eV for the cell shown
DOS(E_F) = 9.37 states/eV/cell
space-group type = No. 166
ΔH_f (0 K) = -0.3750 eV/atom

Material: BaUP2Pt2
Method: DFT, PBE-GGA
State: relaxed

abc: 4.213 4.213 8.508
angles: 90.00 90.00 120.00
Fractional coordinates of all 6 atoms:
1 Ba 0.000 0.000 0.000
2 U 0.000 0.000 0.500
3 P 0.333 0.667 0.728
4 P 0.667 0.333 0.272
5 Pt 0.333 0.667 0.302
6 Pt 0.667 0.333 0.698

Results
total DFT energy (no corrections) = -42.00 eV for the cell shown
DOS(E_F) = 5.90 states/eV/cell
space-group type = No. 164
ΔH_f (0 K) = -0.9805 eV/atom

Material: Ba2ZnP3Pt12
Method: DFT, PBE-GGA
State: relaxed

abc: 7.835 7.835 7.835
angles: 64.45 64.45 64.45
Fractional coordinates of all 18 atoms:
1 Ba 0.114 0.114 0.114
2 Ba 0.886 0.886 0.886
3 Zn 0.500 0.500 0.500
4 P 0.000 0.500 0.500
5 P 0.500 0.000 0.500
6 P 0.500 0.500 0.000
7 Pt 0.137 0.614 0.614
8 Pt 0.165 0.165 0.591
9 Pt 0.165 0.591 0.165
10 Pt 0.386 0.386 0.863
11 Pt 0.386 0.863 0.386
12 Pt 0.409 0.835 0.835
13 Pt 0.591 0.165 0.165
14 Pt 0.614 0.137 0.614
15 Pt 0.614 0.614 0.137
16 Pt 0.835 0.409 0.835
17 Pt 0.835 0.835 0.409
18 Pt 0.863 0.386 0.386

Results
total DFT energy (no corrections) = -100.48 eV for the cell shown
DOS(E_F) = 3.92 states/eV/cell
space-group type = No. 166
ΔH_f (0 K) = -0.3690 eV/atom